Pr2Dy5 | PBE | relaxed

a = 8.555 Å, b = 8.555 Å, c = 9.297 Å
α = 95.19°, β = 95.19°, γ = 43.39°
Fractional positions:
Pr1 0.095 0.759 0.893
Pr2 0.241 0.905 0.607
Pr3 0.759 0.095 0.393
Pr4 0.905 0.241 0.107
Dy1 0.047 0.381 0.821
Dy2 0.190 0.519 0.535
Dy3 0.336 0.664 0.250
Dy4 0.381 0.047 0.321
Dy5 0.481 0.810 0.965
Dy6 0.519 0.190 0.035
Dy7 0.619 0.953 0.679
Dy8 0.664 0.336 0.750
Dy9 0.810 0.481 0.465
Dy10 0.953 0.619 0.179

Results
DOS at the Fermi energy, states/eV/f.u.: 12.033
Calculated formation energy, eV/atom: 0.021
Energy, Ry/atom: -0.340
Magnetic moment, μB/f.u.: 0.000

=====

AcTb5Th2 | PBE | relaxed

a = 3.626 Å, b = 11.250 Å, c = 13.484 Å
α = 90.00°, β = 90.00°, γ = 90.00°
Fractional positions:
Ac1 0.000 0.000 0.000
Ac2 0.500 0.500 0.500
Tb1 0.000 0.225 0.366
Tb2 0.000 0.225 0.634
Tb3 0.000 0.500 0.000
Tb4 0.000 0.775 0.366
Tb5 0.000 0.775 0.634
Tb6 0.500 0.000 0.500
Tb7 0.500 0.275 0.134
Tb8 0.500 0.275 0.866
Tb9 0.500 0.725 0.134
Tb10 0.500 0.725 0.866
Th1 0.000 0.500 0.258
Th2 0.000 0.500 0.742
Th3 0.500 0.000 0.242
Th4 0.500 0.000 0.758

Results
DOS at the Fermi energy, states/eV/f.u.: 12.033
Calculated formation energy, eV/atom: 0.098
Energy, Ry/atom: -0.380
Magnetic moment, μB/f.u.: 0.000

=====

Tb2YTl2Ag2 | PBE | relaxed

a = 9.431 Å, b = 9.431 Å, c = 9.431 Å
α = 29.97°, β = 29.97°, γ = 29.97°
Fractional positions:
Tb1 0.125 0.125 0.125
Tb2 0.875 0.875 0.875
Y1 0.000 0.000 0.000
Tl1 0.258 0.258 0.258
Tl2 0.742 0.742 0.742
Ag1 0.394 0.394 0.394
Ag2 0.606 0.606 0.606

Results
DOS at the Fermi energy, states/eV/f.u.: 5.001
Calculated formation energy, eV/atom: -0.176
Energy, Ry/atom: -0.288
Magnetic moment, μB/f.u.: 0.000

=====

Ca3Tm2UN6 | PBE | relaxed

a = 5.969 Å, b = 5.969 Å, c = 6.029 Å
α = 99.51°, β = 99.51°, γ = 120.02°
Fractional positions:
Ca1 0.000 0.000 0.000
Ca2 0.332 0.668 0.000
Ca3 0.668 0.332 0.000
Tm1 0.167 0.833 0.500
Tm2 0.833 0.167 0.500
U1 0.500 0.500 0.500
N1 0.114 0.427 0.282
N2 0.260 0.260 0.714
N3 0.427 0.114 0.282
N4 0.573 0.886 0.718
N5 0.740 0.740 0.286
N6 0.886 0.573 0.718

Results
DOS at the Fermi energy, states/eV/f.u.: 0.000
Energy, Ry/atom: -0.576
Magnetic moment, μB/f.u.: 0.000
Formation energy without anion corrections, meV/atom: -1491